# BaZnSiSe4

A geometry-optimized BaZnSiSe4 structure (GGA-PBE, the Open Quantum Materials Database).

Cell and atoms, written as POSCAR:
```
BaZnSiSe4
1.0
11.474 0.000 0.000
0.000 5.704 3.123
0.000 -5.704 3.123
Ba Se Si Zn
2 8 2 2
direct
0.000 0.000 0.000 Ba
0.500 0.000 0.000 Ba
0.591 0.527 0.045 Se
0.909 0.527 0.045 Se
0.250 0.325 0.132 Se
0.750 0.132 0.325 Se
0.091 0.045 0.527 Se
0.409 0.045 0.527 Se
0.750 0.834 0.665 Se
0.250 0.665 0.834 Se
0.750 0.751 0.274 Si
0.250 0.274 0.751 Si
0.250 0.761 0.268 Zn
0.750 0.268 0.761 Zn
```

Its total energy is -4.26 eV per atom. The calculation puts the theoretical density at 4.4 Mg/m³.